KZr2VO: relaxed, PBE with a Hubbard U.

Computed properties:
V	145.7	Å³/f.u.
DFT total energy	-4.582	eV/atom

Cell lengths 4.835, 4.835, 6.233 Å; angles 90.00, 90.00, 90.00 degrees
Fractional positions:
K: 0.000 0.000 0.000
Zr: 0.000 0.500 0.500
Zr: 0.500 0.000 0.500
V: 0.000 0.000 0.500
O: 0.500 0.500 0.000